# 1
First-principles (GGA-PBE) data for an optimized crystal structure of Cs2CaCoI6, as listed in Alexandria.

POSCAR file:
```
Cs2CaCoI6
1.0
0.000 5.946 5.946
5.946 0.000 5.946
5.946 5.946 0.000
Cs Ca Co I
2 1 1 6
Cartesian
2.973 2.973 2.973
8.919 8.919 8.919
0.000 0.000 0.000
5.946 5.946 5.946
5.946 5.946 3.127
5.946 3.127 5.946
8.766 5.946 5.946
3.127 5.946 5.946
5.946 8.766 5.946
5.946 5.946 8.766
```

E_tot: -3.050 eV per atom
Calculated volume: 42.1 A^3/atom
Density: 4.45 g/cm³
Uncorrected formation energy: -1.038 eV per atom

# 2
First-principles (GGA-PBE) data for an optimized crystal structure of CsCaCoIr2, as listed in Alexandria.

POSCAR file:
```
CsCaCoIr2
1.0
5.052 0.000 0.000
0.000 5.052 0.000
0.000 0.000 5.431
Cs Ca Co Ir
1 1 1 2
Cartesian
0.000 0.000 0.000
0.000 0.000 2.715
2.526 2.526 2.715
0.000 2.526 0.000
2.526 0.000 0.000
```

E_tot: -3.046 eV per atom
Distance to the lowest polymorph of the same formula: 1520 meV per atom
Calculated volume: 27.7 A^3/atom
Density: 7.38 g/cm³
DFT formation energy: 2.4902 eV/atom

Question: E_tot of number 1 (Cs2CaCoI6)?
Answer: -3.050 eV per atom

Question: density of number 2 (CsCaCoIr2)?
Answer: 7.38 g/cm³